No. 1
# LuFe5P3 (PBE, optimized geometry)
# - Total magnetic moment: 0.16 μB/atom
# - ΔH_f (0 K): -0.7525 eV/atom
data_LuFe5P3
_cell_length_a 11.744
_cell_length_b 3.629
_cell_length_c 10.222
_cell_angle_alpha 90.00
_cell_angle_beta 90.00
_cell_angle_gamma 90.00
_symmetry_space_group_name_H-M 'P n m a'
_symmetry_Int_Tables_number 62
_symmetry_space_group_name_Hall '-P 2ac 2n'
loop_
_atom_site_label
_atom_site_type_symbol
_atom_site_fract_x
_atom_site_fract_y
_atom_site_fract_z
Lu1 Lu 0.205 0.250 0.080
Fe1 Fe 0.011 0.750 0.094
Fe2 Fe 0.011 0.750 0.708
Fe3 Fe 0.068 0.750 0.463
Fe4 Fe 0.176 0.250 0.780
Fe5 Fe 0.202 0.250 0.376
P1 P 0.104 0.750 0.900
P2 P 0.114 0.250 0.578
P3 P 0.129 0.750 0.264

---

No. 2
# LiCr2ReCl (PBE, optimized geometry)
# - Total magnetic moment: 0.00 μB/atom
# - Formation energy from raw total energies: 10.3 eV/f.u.
data_LiCr2ReCl
_cell_length_a 4.091
_cell_length_b 4.091
_cell_length_c 4.275
_cell_angle_alpha 90.00
_cell_angle_beta 90.00
_cell_angle_gamma 90.00
_symmetry_space_group_name_H-M 'P 4/m m m'
_symmetry_Int_Tables_number 123
_symmetry_space_group_name_Hall '-P 4 2'
loop_
_atom_site_label
_atom_site_type_symbol
_atom_site_fract_x
_atom_site_fract_y
_atom_site_fract_z
Li1 Li 0.000 0.000 0.000
Cr1 Cr 0.000 0.500 0.000
Re1 Re 0.000 0.000 0.500
Cl1 Cl 0.500 0.500 0.500

---

No. 3
# NdAlZnCu (PBE, optimized geometry)
# - Total magnetic moment: 0.00 μB/atom
# - ΔH_f (0 K): -0.3072 eV/atom
data_NdAlZnCu
_cell_length_a 6.698
_cell_length_b 6.698
_cell_length_c 6.698
_cell_angle_alpha 90.00
_cell_angle_beta 90.00
_cell_angle_gamma 90.00
_symmetry_space_group_name_H-M 'F -4 3 m'
_symmetry_Int_Tables_number 216
_symmetry_space_group_name_Hall 'F -4 2 3'
loop_
_atom_site_label
_atom_site_type_symbol
_atom_site_fract_x
_atom_site_fract_y
_atom_site_fract_z
Nd1 Nd 0.000 0.000 0.000
Al1 Al 0.000 0.000 0.500
Zn1 Zn 0.250 0.250 0.750
Cu1 Cu 0.250 0.250 0.250